## CaMn (PBE)

Data for a relaxed structure of CaMn.

Results
Energy of formation: 0.45 eV/atom
Final energy: -0.18860 Ha/atom

a b c (Å): 4.064 12.276 6.286
angles (deg): 90.00 90.00 90.00
Space group Imm2 (No. 44)
Unique sites:
1 Ca 0.000 0.000 0.000 x2
2 Ca 0.000 0.292 0.251 x4
3 Mn 0.000 0.000 0.494 x2
4 Mn 0.000 0.400 0.795 x4


## CaMn (PBE)

Data for a relaxed structure of CaMn.

Results
Energy of formation: 0.93 eV/atom
Final energy: -0.17095 Ha/atom

a b c (Å): 11.9832 11.9832 3.2681
angles (deg): 90.00 90.00 120.00
Space group P6_3/m (No. 176)
Unique sites:
1 Ca 0.1703 0.7490 0.2500 x6
2 Mn 0.0320 0.4723 0.2500 x6


## CaMn (PBE)

Data for a relaxed structure of CaMn.

Results
Energy of formation: 1.56 eV/atom
Final energy: -0.14801 Ha/atom

a b c (Å): 6.884 6.884 6.884
angles (deg): 90.00 90.00 90.00
Space group F-43m (No. 216)
Unique sites:
1 Ca 0.000 0.000 0.000 x4
2 Mn 0.250 0.250 0.750 x4


Question: The highest final energy belongs to which entry?
Answer: number 3